# 1
Material: Pm4YEr3Se8
Method: DFT, GGA-PBE
State: relaxed

The structure in extended XYZ format:
```
16
Lattice="-2.632 -2.345 7.364 3.569 -7.453 -1.097 4.526 6.753 -0.758" Properties=species:S:1:pos:R:3 pbc="T T T"
Pm -1.316 -1.173 3.682
Pm 0.947 2.204 3.303
Pm 0.000 0.000 0.000
Pm 2.263 3.376 -0.379
Y 1.785 -3.726 -0.549
Er 0.468 -4.899 3.133
Er 2.732 -1.523 2.755
Er 4.048 -0.350 -0.927
Se 6.455 0.620 0.258
Se 4.207 -2.733 0.634
Se 2.589 0.867 1.202
Se 5.148 -0.544 3.914
Se 0.316 -2.501 1.595
Se 2.875 -3.912 4.308
Se 1.256 -0.313 4.875
Se -0.991 -3.665 5.252
```

Volume: 24.803 Å³ per atom
Formation energy from raw total energies: -28.41 eV per formula unit
DFT total energy: -5.965 eV/atom
Total magnetization: 0.00 μB per formula unit



# 2
Material: YMgAu2
Method: DFT, GGA-PBE
State: relaxed

The structure in extended XYZ format:
```
4
Lattice="5.634 -0.028 -0.026 4.397 3.522 -0.026 0.023 0.008 4.479" Properties=species:S:1:pos:R:3 pbc="T T T"
Y 7.710 2.686 3.880
Mg 4.850 1.690 1.650
Au 0.408 0.142 3.919
Au 2.137 0.744 1.670
```

Volume: 22.360 Å³ per atom
Formation energy from the elements: -0.70 eV per atom
DFT total energy: -4.351 eV/atom
Total magnetization: 0.00 μB per formula unit



# 3
Material: Pm2NdAg
Method: DFT, GGA-PBE
State: relaxed

The structure in extended XYZ format:
```
4
Lattice="-2.954 -1.644 -1.537 1.365 -3.325 0.933 -4.267 0.423 7.745" Properties=species:S:1:pos:R:3 pbc="T T T"
Nd -2.928 -2.273 3.571
Ag -0.795 -2.484 -0.302
Pm -3.363 0.334 6.104
Pm -0.904 0.090 1.641
```

Volume: 30.522 Å³ per atom
Formation energy from the elements: -0.11 eV per atom
DFT total energy: -4.391 eV/atom
Total magnetization: 0.00 μB per formula unit
Excess energy over the best structure of this formula in the dataset: 0.0048 eV/atom



# 4
Material: Pm2Sm6Dy
Method: DFT, GGA-PBE
State: relaxed

The structure in extended XYZ format:
```
9
Lattice="-2.757 4.639 -2.745 -3.773 -4.939 -4.555 -6.848 -2.785 2.175" Properties=species:S:1:pos:R:3 pbc="T T T"
Pm -9.240 -1.515 -3.736
Pm -4.139 -1.570 -1.388
Sm -7.769 -2.791 -0.739
Sm -9.406 -4.938 -2.716
Sm -6.433 -3.727 -3.662
Sm -5.610 -0.294 -4.385
Sm -3.972 1.853 -2.408
Sm -6.945 0.642 -1.462
Dy 0.000 0.000 0.000
```

Volume: 34.596 Å³ per atom
Formation energy from the elements: 0.23 eV per atom
DFT total energy: -4.480 eV/atom
Total magnetization: 0.00 μB per formula unit
Excess energy over the best structure of this formula in the dataset: 0.1763 eV/atom



# 5
Material: PaRe2W
Method: DFT, GGA-PBE
State: relaxed

The structure in extended XYZ format:
```
4
Lattice="-1.981 -2.022 0.606 0.357 -2.709 -0.956 4.231 -3.817 8.014" Properties=species:S:1:pos:R:3 pbc="T T T"
Re 2.085 -6.472 5.970
Re 0.521 -2.076 1.694
Pa 1.303 -4.274 3.832
W 0.000 0.000 0.000
```

Volume: 17.580 Å³ per atom
Formation energy from the elements: 0.33 eV per atom
DFT total energy: -11.511 eV/atom
Total magnetization: 0.00 μB per formula unit
Excess energy over the best structure of this formula in the dataset: 0.2747 eV/atom



# 6
Material: YHgBi2S
Method: DFT, GGA-PBE
State: relaxed

The structure in extended XYZ format:
```
5
Lattice="-0.826 -2.037 5.474 -1.953 -5.079 -2.184 5.500 -2.131 0.037" Properties=species:S:1:pos:R:3 pbc="T T T"
Y 0.000 0.000 0.000
S 1.361 -4.623 1.663
Bi 2.750 -1.065 0.018
Bi -0.413 -1.018 2.737
Hg -0.976 -2.539 -1.092
```

Volume: 40.798 Å³ per atom
Formation energy from raw total energies: 3.07 eV per formula unit
DFT total energy: -3.116 eV/atom
Total magnetization: 1.33 μB per formula unit



# 7
Material: InSnF3
Method: DFT, GGA-PBE
State: relaxed

The structure in extended XYZ format:
```
5
Lattice="-4.111 0.730 2.202 -2.005 -3.372 -2.626 1.167 -3.222 3.246" Properties=species:S:1:pos:R:3 pbc="T T T"
F -1.002 -1.686 -1.313
F 0.583 -1.611 1.623
F -2.055 0.365 1.101
Sn 0.000 0.000 0.000
In -2.474 -2.932 1.411
```

Volume: 21.032 Å³ per atom
Formation energy from raw total energies: -9.61 eV per formula unit
DFT total energy: -4.393 eV/atom
Total magnetization: 0.00 μB per formula unit



# 8
Material: NaCa3Pt8
Method: DFT, GGA-PBE
State: relaxed

The structure in extended XYZ format:
```
12
Lattice="5.208 0.000 1.572 2.367 4.640 1.572 0.010 0.006 9.381" Properties=species:S:1:pos:R:3 pbc="T T T"
Na 6.625 4.057 6.294
Ca 2.856 1.749 9.364
Ca 7.545 4.621 3.244
Ca 3.817 2.338 6.180
Pt 5.929 2.030 3.909
Pt 4.499 4.354 8.619
Pt 3.315 2.030 3.120
Pt 7.109 4.354 9.406
Pt 1.426 0.873 4.689
Pt 5.218 3.196 10.955
Pt 4.503 4.359 3.909
Pt 5.923 2.029 8.619
```

Volume: 18.882 Å³ per atom
Formation energy from the elements: -0.84 eV per atom
DFT total energy: -5.473 eV/atom
Total magnetization: 0.00 μB per formula unit



# 9
Material: Li2CrNiRh
Method: DFT, GGA-PBE
State: relaxed

The structure in extended XYZ format:
```
5
Lattice="-4.101 -1.244 1.270 0.825 -4.089 -1.342 1.566 -1.017 4.061" Properties=species:S:1:pos:R:3 pbc="T T T"
Ni -0.855 -3.175 1.994
Li 0.783 -0.508 2.030
Li -2.050 -0.622 0.635
Rh 0.413 -2.045 -0.671
Cr 0.000 0.000 0.000
```

Volume: 17.509 Å³ per atom
Formation energy from the elements: 1.06 eV per atom
DFT total energy: -4.252 eV/atom
Total magnetization: 3.84 μB per formula unit



# 10
Material: RuRhC
Method: DFT, GGA-PBE
State: relaxed

The structure in extended XYZ format:
```
12
Lattice="-2.099 0.000 3.714 -6.558 -9.273 -3.707 1.913 -1.785 1.081" Properties=species:S:1:pos:R:3 pbc="T T T"
Ru -4.406 -8.475 -2.491
Ru -0.239 -2.583 -0.135
Ru -2.177 -3.838 1.220
Ru -4.567 -7.219 -0.132
C -0.392 -0.554 -0.222
C -6.166 -8.719 -3.485
C -4.720 -5.191 -0.218
C -3.936 -4.082 0.225
Rh -4.011 -5.671 -2.267
Rh -2.547 -3.601 -1.440
Rh -1.781 -1.035 1.443
Rh -6.875 -8.238 -1.436
```

Volume: 12.019 Å³ per atom
Formation energy from the elements: 0.32 eV per atom
DFT total energy: -8.293 eV/atom
Total magnetization: 0.00 μB per formula unit
Excess energy over the best structure of this formula in the dataset: 0.0000 eV/atom



# 11
Material: K3Np3ScS8
Method: DFT, GGA-PBE
State: relaxed

The structure in extended XYZ format:
```
15
Lattice="-6.186 3.098 3.990 1.552 -7.819 0.484 5.441 5.421 4.226" Properties=species:S:1:pos:R:3 pbc="T T T"
K 0.000 0.000 0.000
K 0.776 -3.909 0.242
K -2.317 -2.360 2.237
Np -0.372 4.260 4.108
Np 0.403 0.350 4.350
Np 3.496 -1.199 2.355
Sc 2.720 2.711 2.113
S 0.813 -1.716 2.593
S -0.006 2.417 6.107
S -2.259 -0.225 4.666
S 3.066 0.926 4.034
S -3.061 3.813 4.416
S 3.868 -3.112 4.284
S 0.135 2.212 2.354
S 0.672 -1.512 6.346
```

Volume: 27.451 Å³ per atom
Formation energy from raw total energies: -22.38 eV per formula unit
DFT total energy: -6.923 eV/atom
Total magnetization: 11.00 μB per formula unit



# 12
Material: SrCaSnBi2
Method: DFT, GGA-PBE
State: relaxed

The structure in extended XYZ format:
```
10
Lattice="6.142 0.000 0.000 0.000 6.817 0.000 0.000 -3.409 8.271" Properties=species:S:1:pos:R:3 pbc="T T T"
Sr 1.353 3.409 4.136
Sr 4.789 0.000 4.136
Ca 3.071 5.113 0.000
Ca 3.071 1.704 0.000
Sn 0.000 0.000 0.000
Sn 0.000 3.409 0.000
Bi 4.419 3.409 5.701
Bi 4.419 3.409 2.570
Bi 1.723 0.000 5.701
Bi 1.723 0.000 2.570
```

Volume: 34.632 Å³ per atom
Formation energy from the elements: -0.49 eV per atom
DFT total energy: -3.575 eV/atom
Total magnetization: 0.00 μB per formula unit



# 13
Material: NaH2AuO2
Method: DFT, GGA-PBE
State: relaxed

The structure in extended XYZ format:
```
12
Lattice="-2.330 -1.967 3.502 -2.321 -2.389 -2.886 5.113 -5.279 0.436" Properties=species:S:1:pos:R:3 pbc="T T T"
Na 3.134 -5.772 0.382
Na -2.671 -3.863 0.670
H -0.122 -1.669 0.521
H 1.678 -6.695 -1.105
H 0.584 -7.966 0.531
H -1.216 -2.940 2.157
Au -0.083 -6.019 1.181
Au 0.545 -3.616 -0.129
O -0.735 -2.449 1.196
O 0.416 -1.476 -0.535
O 0.046 -8.159 1.587
O 1.198 -7.186 -0.145
```

Volume: 12.553 Å³ per atom
DFT total energy: -4.159 eV/atom
Total magnetization: 0.00 μB per formula unit